[1]
Material: Sc3Ga5Co
Method: DFT, PBE-GGA
State: optimized geometry

POSCAR file:
```
Sc3Ga5Co
1.0
-0.2706 0.7086 -6.6779
-2.3117 -5.3842 3.2917
-3.7089 1.8011 0.3414
Sc Ga Co
3 5 1
direct
0.1060 0.5414 0.5000 Sc
0.5414 0.1060 0.5000 Sc
0.9851 0.9851 0.5000 Sc
0.1974 0.8891 0.0000 Ga
0.8891 0.1974 0.0000 Ga
0.4929 0.4929 0.5000 Ga
0.5014 0.7589 0.0000 Ga
0.7589 0.5014 0.0000 Ga
0.3018 0.3018 0.0000 Co
```

The value obtained for the formation enthalpy at 0 K is -0.576 eV/atom. The calculation puts the magnetization at 0.0 μB per formula unit. The calculated total energy is -5.16 eV per atom. The density of states at the Fermi level comes out at 4.30 states/eV/cell.

---

[2]
Material: ScGaCo3
Method: DFT, PBE-GGA
State: optimized geometry

POSCAR file:
```
ScGaCo3
1.0
4.3643 0.0000 0.0000
0.0000 4.3643 0.0000
0.0000 0.0000 4.3643
Sc Co Ga
1 3 1
direct
0.0000 0.0000 0.0000 Sc
0.0000 0.5000 0.0000 Co
0.0000 0.0000 0.5000 Co
0.5000 0.0000 0.0000 Co
0.5000 0.5000 0.5000 Ga
```

The value obtained for the formation enthalpy at 0 K is 1.228 eV/atom. The calculation puts the magnetization at 1.3 μB per formula unit. The calculated total energy is -4.91 eV per atom. The density of states at the Fermi level comes out at 5.07 states/eV/cell.

---

[3]
Material: Sc4GaCo3
Method: DFT, PBE-GGA
State: optimized geometry

POSCAR file:
```
Sc4GaCo3
1.0
4.4725 0.0000 0.0000
0.0000 6.4879 0.0000
0.0000 0.0000 8.9452
Sc Co Ga
8 6 2
direct
0.5000 0.7615 0.0000 Sc
0.5000 0.7615 0.5000 Sc
0.5000 0.2385 0.0000 Sc
0.5000 0.2385 0.5000 Sc
0.9999 0.7615 0.7500 Sc
0.0001 0.7615 0.2500 Sc
0.0001 0.2385 0.2500 Sc
0.9999 0.2385 0.7500 Sc
0.0000 0.0000 0.0000 Co
0.0000 0.0000 0.5000 Co
0.4999 0.0000 0.7500 Co
0.5001 0.0000 0.2500 Co
0.5003 0.5000 0.7500 Co
0.4997 0.5000 0.2500 Co
0.0000 0.5000 0.0000 Ga
0.0000 0.5000 0.5000 Ga
```

The value obtained for the formation enthalpy at 0 K is -0.399 eV/atom. The calculation puts the magnetization at 0.9 μB per formula unit. The calculated total energy is -6.61 eV per atom. The density of states at the Fermi level comes out at 8.25 states/eV/cell.

---

[4]
Material: Sc8Ga2Co
Method: DFT, PBE-GGA
State: optimized geometry

POSCAR file:
```
Sc8Ga2Co
1.0
4.8248 0.0000 0.0000
0.0000 6.2926 -0.1543
-2.4124 -2.8980 7.5594
Sc Ga Co
8 2 1
direct
0.4075 0.5746 0.8150 Sc
0.6494 0.9444 0.2988 Sc
0.8004 0.7187 0.6009 Sc
0.9855 0.2210 0.9709 Sc
0.1996 0.2813 0.3991 Sc
0.3506 0.0556 0.7012 Sc
0.5925 0.4254 0.1850 Sc
0.0145 0.7790 0.0291 Sc
0.8238 0.3011 0.6475 Ga
0.1762 0.6989 0.3525 Ga
0.5000 0.0000 0.0000 Co
```

The value obtained for the formation enthalpy at 0 K is -0.303 eV/atom. The calculation puts the magnetization at 0.0 μB per formula unit. The calculated total energy is -6.10 eV per atom. The density of states at the Fermi level comes out at 13.43 states/eV/cell.

---

[5]
Material: Sc2Ga5Co3
Method: DFT, PBE-GGA
State: optimized geometry

POSCAR file:
```
Sc2Ga5Co3
1.0
3.9877 0.0000 -0.6793
0.0000 6.4274 0.0000
-0.0288 0.0000 11.8754
Sc Ga Co
4 10 6
direct
0.4758 0.7864 0.9516 Sc
0.1756 0.6977 0.3513 Sc
0.8244 0.1977 0.6487 Sc
0.5242 0.2864 0.0484 Sc
0.4028 0.4143 0.8056 Ga
0.2886 0.4833 0.5773 Ga
0.7114 0.9833 0.4227 Ga
0.1246 0.2590 0.2492 Ga
0.2948 0.8889 0.5895 Ga
0.9477 0.1131 0.8954 Ga
0.7052 0.3889 0.4105 Ga
0.8754 0.7590 0.7508 Ga
0.0523 0.6131 0.1046 Ga
0.5972 0.9143 0.1944 Ga
0.7725 0.6815 0.5450 Co
0.6098 0.5387 0.2195 Co
0.0463 0.0018 0.0926 Co
0.2275 0.1815 0.4550 Co
0.9537 0.5018 0.9074 Co
0.3902 0.0387 0.7805 Co
```

The value obtained for the formation enthalpy at 0 K is -0.427 eV/atom. The calculation puts the magnetization at 0.0 μB per formula unit. The calculated total energy is -5.34 eV per atom. The density of states at the Fermi level comes out at 13.22 states/eV/cell.

---

[6]
Material: Sc4GaCo
Method: DFT, PBE-GGA
State: optimized geometry

POSCAR file:
```
Sc4GaCo
1.0
4.5230 0.0039 -0.0062
-0.0033 4.4709 0.3211
0.0060 0.4992 6.5037
Sc Ga Co
4 1 1
direct
0.5014 0.9372 0.2737 Sc
0.5011 0.0571 0.7233 Sc
0.0011 0.5467 0.7292 Sc
0.0015 0.4478 0.2663 Sc
0.5014 0.4972 0.9981 Ga
0.0013 0.9977 0.4983 Co
```

The value obtained for the formation enthalpy at 0 K is -0.197 eV/atom. The calculation puts the magnetization at 0.0 μB per formula unit. The calculated total energy is -6.11 eV per atom. The density of states at the Fermi level comes out at 4.56 states/eV/cell.

---

Among the records above, which one has the lowest formation enthalpy at 0 K?
Sc3Ga5Co